## Ca3VO6 (GGA+U)

Data for Ca3VO6 after structural relaxation.

- total moment (μB/cell) = 2.138
- ρ (g/cm³) = 3.196
- calculated total energy (eV/atom) = -6.764

a = 6.528 Å, b = 6.528 Å, c = 6.528 Å
α = 92.05°, β = 92.05°, γ = 92.05°
Last column: magnetic moment on the atom in μB.
Fractional positions:
Ca1 0.434 0.931 0.744  0.00
Ca2 0.931 0.744 0.434  0.00
Ca3 0.256 0.566 0.069  0.00
Ca4 0.744 0.434 0.931  0.00
Ca5 0.069 0.256 0.566  0.00
Ca6 0.566 0.069 0.256  0.00
V1 0.000 0.000 0.000  -0.13
V2 0.500 0.500 0.500  -0.10
O1 0.279 0.941 0.068  0.18
O2 0.059 0.932 0.721  0.18
O3 0.576 0.779 0.453  0.14
O4 0.932 0.721 0.059  0.18
O5 0.453 0.576 0.779  0.14
O6 0.221 0.547 0.424  0.14
O7 0.779 0.453 0.576  0.14
O8 0.547 0.424 0.221  0.14
O9 0.068 0.279 0.941  0.18
O10 0.424 0.221 0.547  0.14
O11 0.941 0.068 0.279  0.18
O12 0.721 0.059 0.932  0.18